Here is a relaxed structure of InRu2Se from the Alexandria database. Energies are from PBE-GGA.

```
InRu2Se
1.0
1.4808 0.8549 9.7809
-1.4808 0.8549 9.7809
0.0000 -1.7099 9.7809
In Ru Se
1 2 1
direct
0.0000 0.0000 0.0000 In
0.2550 0.2550 0.2550 Ru
0.5168 0.5168 0.5168 Ru
0.7881 0.7881 0.7881 Se
```

Output
Space group = No. 160
DOS at the Fermi energy = 1.0299 states/eV/atom
Size of the total moment = 0.01 μB/f.u.
Uncorrected formation energy = 0.284 eV per atom

=====

Here is a relaxed structure of KTi2PO from the Alexandria database. Energies are from PBE-GGA.

```
KTi2PO
1.0
4.6476 0.0000 0.0000
0.0000 4.6476 0.0000
0.0000 0.0000 5.1976
K Ti P O
1 2 1 1
direct
0.0000 0.0000 0.0000 K
0.0000 0.5000 0.5000 Ti
0.5000 0.0000 0.5000 Ti
0.5000 0.5000 0.5000 P
0.5000 0.5000 0.0000 O
```

Output
Space group = No. 123
DOS at the Fermi energy = 0.9619 states/eV/atom
Size of the total moment = 2.92 μB/f.u.
Uncorrected formation energy = 0.324 eV per atom

=====

Here is a relaxed structure of HfMgTeRu2 from the Alexandria database. Energies are from PBE-GGA.

```
HfMgTeRu2
1.0
4.8168 0.0000 0.0000
0.0000 4.8168 0.0000
0.0000 0.0000 5.4851
Hf Mg Te Ru
1 1 1 2
direct
0.0000 0.0000 0.0000 Hf
0.5000 0.5000 0.5000 Mg
0.0000 0.0000 0.5000 Te
0.0000 0.5000 0.0000 Ru
0.5000 0.0000 0.0000 Ru
```

Output
Space group = No. 123
DOS at the Fermi energy = 1.1138 states/eV/atom
Size of the total moment = 1.94 μB/f.u.
Uncorrected formation energy = 0.945 eV per atom

=====

Here is a relaxed structure of NaGa4Pd2 from the Alexandria database. Energies are from PBE-GGA.

```
NaGa4Pd2
1.0
8.1118 0.0000 0.0000
0.0000 8.1118 0.0000
0.0000 0.0000 3.9674
Na Ga Pd
2 8 4
direct
0.0000 0.0000 0.0000 Na
0.5000 0.5000 0.5000 Na
0.0724 0.3239 0.5000 Ga
0.1761 0.5724 0.0000 Ga
0.3239 0.0724 0.5000 Ga
0.4276 0.8239 0.0000 Ga
0.5724 0.1761 0.0000 Ga
0.6761 0.9276 0.5000 Ga
0.8239 0.4276 0.0000 Ga
0.9276 0.6761 0.5000 Ga
0.2274 0.7726 0.5000 Pd
0.2726 0.2726 0.0000 Pd
0.7274 0.7274 0.0000 Pd
0.7726 0.2274 0.5000 Pd
```

Output
ΔH_f (0 K) = -0.370 eV/atom
Space group = No. 136
DOS at the Fermi energy = 0.5450 states/eV/atom
Size of the total moment = 0.00 μB/f.u.

=====

Here is a relaxed structure of HoCu2As2 from the Alexandria database. Energies are from PBE-GGA.

```
HoCu2As2
1.0
4.3362 -4.9616 0.0000
4.3362 4.9616 0.0000
-3.8652 0.0000 4.4487
Ho Cu As
2 4 4
direct
0.1335 0.8665 0.7500 Ho
0.8665 0.1335 0.2500 Ho
0.2078 0.4909 0.9614 Cu
0.4909 0.2078 0.4614 Cu
0.5091 0.7922 0.5386 Cu
0.7922 0.5091 0.0386 Cu
0.1487 0.8513 0.2500 As
0.4273 0.5727 0.7500 As
0.5727 0.4273 0.2500 As
0.8513 0.1487 0.7500 As
```

Output
ΔH_f (0 K) = -0.467 eV/atom
Space group = No. 15
DOS at the Fermi energy = 0.3100 states/eV/atom
Size of the total moment = 0.00 μB/f.u.

=====

Here is a relaxed structure of YHfSc2Co from the Alexandria database. Energies are from PBE-GGA.

```
YHfSc2Co
1.0
4.9244 0.0000 0.0000
0.0000 4.9244 0.0000
0.0000 0.0000 4.8966
Y Hf Sc Co
1 1 2 1
direct
0.0000 0.0000 0.0000 Y
0.5000 0.5000 0.0000 Hf
0.0000 0.5000 0.5000 Sc
0.5000 0.0000 0.5000 Sc
0.5000 0.5000 0.5000 Co
```

Output
ΔH_f (0 K) = -0.012 eV/atom
Space group = No. 123
DOS at the Fermi energy = 1.5306 states/eV/atom
Size of the total moment = 0.00 μB/f.u.